Computed, not measured: a geometry-optimized Cd2RuWO6 structure at the PBE+U level of DFT.

Calculated values
E_tot = -58.74 eV for the cell shown
DOS at the Fermi energy = 4.9 states/eV/f.u.

abc: 5.5898 5.5898 4.0012
angles: 90.00 90.00 90.00
Element x y z (fractional)
Cd: 0.0000 0.5000 0.0000
Cd: 0.5000 0.0000 0.0000
Ru: 0.0000 0.0000 0.5000
W: 0.5000 0.5000 0.5000
O: 0.0000 0.0000 0.0000
O: 0.2552 0.2552 0.5000
O: 0.2552 0.7448 0.5000
O: 0.5000 0.5000 0.0000
O: 0.7448 0.2552 0.5000
O: 0.7448 0.7448 0.5000